No. 1
18
Lattice="8.338 -0.196 -3.316 -4.397 7.446 -2.403 -0.131 0.196 8.972" Properties=species:S:1:pos:R:3 comment="Pr12Ga5Sn | Alexandria via LeMat-Bulk | PBE | relaxed" crystal_system=orthorhombic spacegroup=Immm pbc="T T T"
Pr 0.814 6.127 2.723
Pr 2.997 1.319 0.531
Pr 6.645 1.319 3.045
Pr -2.834 6.127 0.209
Pr 2.855 4.989 -0.520
Pr 0.956 2.457 3.774
Pr -0.660 5.186 6.119
Pr 4.471 2.261 -2.866
Pr 4.084 4.247 2.857
Pr -0.273 3.200 0.396
Pr -2.701 7.299 3.920
Pr 6.512 0.147 -0.666
Ga 2.522 4.639 -3.659
Ga 1.420 2.612 -2.060
Ga 3.565 0.910 3.611
Ga 0.246 6.536 -0.357
Ga 0.000 0.000 0.000
Sn -2.264 3.821 3.285

---

No. 2
6
Lattice="4.246 0.000 0.000 0.000 4.433 0.000 0.000 0.000 9.015" Properties=species:S:1:pos:R:3 comment="Pr2GaSn3 | Alexandria via LeMat-Bulk | PBE | relaxed" crystal_system=orthorhombic spacegroup=Pmm2 pbc="T T T"
Pr 0.000 2.216 0.129
Pr 0.000 0.000 4.346
Ga 2.123 2.216 3.067
Sn 2.123 0.000 7.622
Sn 2.123 0.000 1.590
Sn 2.123 2.216 5.784

---

No. 3
9
Lattice="-4.058 -0.165 -1.963 -1.498 -7.579 3.734 -2.225 7.262 3.990" Properties=species:S:1:pos:R:3 comment="Pr6GaSn2 | Alexandria via LeMat-Bulk | PBE | relaxed" crystal_system=hexagonal spacegroup=P-62m pbc="T T T"
Pr -2.911 -4.544 1.217
Pr -3.560 -0.212 2.195
Pr -4.837 -3.385 5.101
Pr -0.373 -1.889 0.931
Pr -2.795 -0.237 5.798
Pr -2.052 -5.768 4.728
Ga -2.029 -0.083 -0.981
Sn -1.982 2.315 3.904
Sn -1.740 -2.631 3.819

---

no.,energy relative to the elements (eV/atom),calculated total energy (eV per atom),density of states at the Fermi level (states/eV/cell)
1,-0.415,-4.664,16.6
2,-0.513,-4.613,2.9
3,-0.520,-4.932,9.3